# 1
K2ZrZn | SCAN | PBEsol geometry

Unit cell a=3.226 b=4.466 c=10.534 alpha=102.11 beta=98.81 gamma=90.00
Last column: magnetic moment on the atom in μB.
Fractional coordinates of all 4 atoms:
K  0.651  0.648  0.301  0.00
K  0.349  0.352  0.699  0.00
Zn  0.000  0.500  0.000  0.00
Zr  0.500  0.000  0.000  -0.12

Output
Formation energy (eV/atom): 0.369
N(E_F) (states/eV/f.u.): 3.66

---

# 2
KZr2Zn | SCAN | PBEsol geometry

Unit cell a=5.103 b=5.103 c=5.103 alpha=60.00 beta=60.00 gamma=60.00
Last column: magnetic moment on the atom in μB.
Fractional coordinates of all 4 atoms:
Zr  0.750  0.750  0.750  1.08
Zr  0.000  0.000  0.000  0.79
K  0.500  0.500  0.500  0.02
Zn  0.250  0.250  0.250  -0.05

Output
Formation energy (eV/atom): 0.797
N(E_F) (states/eV/f.u.): 1.44

---

# 3
KZrZn4 | SCAN | PBEsol geometry

Unit cell a=5.340 b=5.340 c=5.340 alpha=60.00 beta=60.00 gamma=60.00
Fractional coordinates of all 6 atoms:
Zn  0.868  0.377  0.377
Zn  0.377  0.868  0.377
Zn  0.377  0.377  0.868
Zn  0.377  0.377  0.377
K  0.000  0.000  0.000
Zr  0.750  0.750  0.750

Output
Formation energy (eV/atom): 0.124
N(E_F) (states/eV/f.u.): 3.14

---

# 4
KZr | SCAN | PBEsol geometry

Unit cell a=3.284 b=3.284 c=12.729 alpha=90.00 beta=90.00 gamma=90.00
Fractional coordinates of all 4 atoms:
Zr  0.000  0.500  0.423
Zr  0.500  0.000  0.577
K  0.500  0.000  0.163
K  0.000  0.500  0.837

Output
Polymorph energy (0 for the lowest one) (meV/atom): 0
Formation energy (eV/atom): 0.451
N(E_F) (states/eV/f.u.): 1.30

---

# 5
KZr2 | SCAN | PBEsol geometry

Unit cell a=3.212 b=5.549 c=11.681 alpha=82.08 beta=82.10 gamma=73.18
Fractional coordinates of all 6 atoms:
Zr  0.477  0.679  0.366
Zr  0.523  0.321  0.634
Zr  0.819  0.787  0.575
Zr  0.181  0.213  0.425
K  0.179  0.776  0.867
K  0.821  0.224  0.133

Output
Polymorph energy (0 for the lowest one) (meV/atom): 0
Formation energy (eV/atom): 0.432
N(E_F) (states/eV/f.u.): 3.01

---

# 6
KZr | SCAN | PBEsol geometry

Unit cell a=3.394 b=3.394 c=12.984 alpha=90.00 beta=90.00 gamma=120.00
Fractional coordinates of all 4 atoms:
Zr  0.333  0.667  0.588
Zr  0.667  0.333  0.412
K  0.333  0.667  0.157
K  0.667  0.333  0.843

Output
Polymorph energy (0 for the lowest one) (meV/atom): 97
Formation energy (eV/atom): 0.548
N(E_F) (states/eV/f.u.): 2.14